#one
This record from OQMD via LeMat-Bulk describes an optimized crystal structure of NaGdCdS3. The functional is PBE.

```
NaGdCdS3
1.0
-8.426 5.487 4.670
-0.638 -3.090 2.480
7.565 4.834 7.971
Cd Gd Na S
4 4 4 12
Cartesian
-6.810 4.501 5.480 Cd
-0.275 3.240 5.592 Cd
-1.224 3.990 9.529 Cd
5.311 2.730 9.641 Cd
0.270 -0.430 4.405 Gd
-3.843 2.377 6.846 Gd
2.344 4.853 8.275 Gd
-1.769 7.660 10.716 Gd
-2.811 1.654 2.962 Na
-4.327 6.121 8.139 Na
2.828 1.109 6.982 Na
1.312 5.576 12.159 Na
-0.551 0.264 1.811 S
-4.764 3.201 4.388 S
-1.816 0.961 5.603 S
-5.980 3.736 7.989 S
1.719 1.908 4.444 S
-2.193 4.650 6.855 S
0.694 2.580 8.266 S
-3.218 5.322 10.677 S
4.481 3.494 7.132 S
0.316 6.269 9.518 S
3.264 4.029 10.733 S
-0.948 6.966 13.310 S
```

## Properties
SG	Pnma (62)

***

#two
This record from OQMD via LeMat-Bulk describes an optimized crystal structure of NaGdCdS3. The functional is PBE.

```
NaGdCdS3
1.0
7.912 0.000 0.000
0.000 4.074 0.000
-3.117 0.000 10.270
Cd Gd Na S
2 2 2 6
Cartesian
4.047 1.019 1.190 Cd
0.748 3.056 9.080 Cd
5.454 3.056 3.659 Gd
-0.659 1.019 6.611 Gd
1.426 3.056 3.698 Na
3.370 1.019 6.572 Na
5.588 3.056 0.789 S
3.484 1.019 3.653 S
-0.620 1.019 3.839 S
5.415 3.056 6.432 S
1.311 3.056 6.617 S
-0.793 1.019 9.482 S
```

## Properties
SG	P2_1/m (11)

***

#three
This record from OQMD via LeMat-Bulk describes an optimized crystal structure of NaGdCdS3. The functional is PBE.

```
NaGdCdS3
1.0
-1.759 -8.660 -6.264
-4.754 -2.278 4.485
-6.685 0.060 1.794
Cd Gd Na S
2 2 2 6
Cartesian
-5.295 -1.027 2.907 Cd
-7.023 -5.522 0.241 Cd
-0.440 -2.165 -1.566 Gd
-1.319 -6.495 -4.698 Gd
-3.808 -4.898 -1.524 Na
-8.510 -1.650 4.671 Na
-0.940 -0.182 0.516 S
-4.497 -2.480 1.072 S
-5.576 -7.793 -2.771 S
-7.821 -4.069 2.075 S
-8.501 -7.416 -0.345 S
-11.378 -6.366 2.631 S
```

## Properties
SG	Cmcm (63)

***

Here is how they stack up, most stable first: #one, #two, #three.